(1)
DFT (PBE) results for an optimized crystal structure of PrOsPb.

Unit cell a=6.8865 b=6.8865 c=6.8865 alpha=90.00 beta=90.00 gamma=90.00
Space group F-43m (No. 216)
Asymmetric unit:
Pr  0.0000  0.0000  0.0000 [4 per cell]
Os  0.0000  0.0000  0.5000 [4 per cell]
Pb  0.2500  0.2500  0.7500 [4 per cell]

Its raw total energy is -5.830 eV/atom.


(2)
DFT (PBE) results for an optimized crystal structure of Co11W2.

Unit cell a=4.6062 b=4.6062 c=24.6143 alpha=90.00 beta=90.00 gamma=120.00
Space group R-3m (No. 166, hexagonal axes)
Asymmetric unit:
Co  0.0000  0.0000  0.0000 [3 per cell]
Co  0.0000  0.0000  0.1649 [6 per cell]
Co  0.0000  0.0000  0.4548 [6 per cell]
Co  0.0029  0.5014  0.4142 [18 per cell]
W  0.0000  0.0000  0.3518 [6 per cell]

Its raw total energy is -7.920 eV/atom. The energy relative to the lowest polymorph listed for this composition comes out at 0.0 meV per atom. The calculation puts the calculated formation energy at 2.00 kcal/mol of atoms.


(3)
DFT (PBE) results for an optimized crystal structure of BeReSbPb.

Unit cell a=6.6921 b=6.6921 c=6.6921 alpha=90.00 beta=90.00 gamma=90.00
Space group F-43m (No. 216)
Asymmetric unit:
Be  0.0000  0.0000  0.0000 [4 per cell]
Re  0.0000  0.0000  0.5000 [4 per cell]
Sb  0.2500  0.2500  0.7500 [4 per cell]
Pb  0.2500  0.2500  0.2500 [4 per cell]

Its raw total energy is -5.011 eV/atom. The energy relative to the lowest polymorph listed for this composition comes out at 0.0 meV per atom.